Entry from Alexandria: a relaxed PrY2ThP4 crystal (PBE).

Lattice parameters (Å, degrees): 7.068 4.101 7.100 90.00 109.49 90.00
Space group P2/m (No. 10)
One atom of each set of equivalent atoms:
Pr 0.000 0.000 0.000 (multiplicity 1)
Y 0.500 0.000 0.500 (multiplicity 1)
Y 0.500 0.500 0.000 (multiplicity 1)
Th 0.000 0.500 0.500 (multiplicity 1)
P 0.257 0.000 0.750 (multiplicity 2)
P 0.259 0.500 0.256 (multiplicity 2)

Computed properties:
- Uncorrected energy: -7.444 eV per atom
- Magnetization: 0.000 μB per formula unit